Compound: NaSrErSe3
Source: the Open Quantum Materials Database
Functional: GGA-PBE
Structure: optimized geometry

a = 14.115 Å, b = 4.265 Å, c = 10.844 Å
α = 90.00°, β = 90.00°, γ = 90.00°
Space group Pnma (No. 62)
Asymmetric unit:
Na (0.002, 0.250, 0.090) (multiplicity 4)
Sr (0.240, 0.750, 0.026) (multiplicity 4)
Er (0.018, 0.750, 0.336) (multiplicity 4)
Se (0.102, 0.750, 0.571) (multiplicity 4)
Se (0.117, 0.250, 0.872) (multiplicity 4)
Se (0.143, 0.250, 0.260) (multiplicity 4)

**Crystal system**: orthorhombic
**Polymorph energy (0 for the lowest one)**: 0.120 eV/atom

Compound: NaSrErSe3
Source: the Open Quantum Materials Database
Functional: GGA-PBE
Structure: optimized geometry

a = 17.742 Å, b = 4.139 Å, c = 9.048 Å
α = 90.00°, β = 104.85°, γ = 90.00°
Space group C2/m (No. 12)
Asymmetric unit:
Na (0.004, 0.000, 0.204) (multiplicity 4)
Sr (0.136, 0.500, 0.566) (multiplicity 4)
Er (0.166, 0.500, 0.086) (multiplicity 4)
Se (0.000, 0.000, 0.500) (multiplicity 2)
Se (0.000, 0.500, 0.000) (multiplicity 2)
Se (0.169, 0.000, 0.864) (multiplicity 4)
Se (0.179, 0.000, 0.310) (multiplicity 4)

**Crystal system**: monoclinic
**Polymorph energy (0 for the lowest one)**: 0.000 eV/atom

Compound: NaSrErSe3
Source: the Open Quantum Materials Database
Functional: GGA-PBE
Structure: optimized geometry

a = 7.876 Å, b = 4.221 Å, c = 10.205 Å
α = 90.00°, β = 107.57°, γ = 90.00°
Space group P2_1/m (No. 11)
Asymmetric unit:
Na (0.095, 0.250, 0.087) (multiplicity 2)
Sr (0.283, 0.250, 0.801) (multiplicity 2)
Er (0.301, 0.750, 0.355) (multiplicity 2)
Se (0.054, 0.250, 0.342) (multiplicity 2)
Se (0.294, 0.750, 0.047) (multiplicity 2)
Se (0.445, 0.750, 0.640) (multiplicity 2)

**Crystal system**: monoclinic
**Polymorph energy (0 for the lowest one)**: 0.119 eV/atom

Compound: NaErTeSe
Source: the Open Quantum Materials Database
Functional: GGA-PBE
Structure: optimized geometry

a = 4.2260 Å, b = 4.2260 Å, c = 21.6256 Å
α = 90.00°, β = 90.00°, γ = 120.00°
Space group R3m (No. 160, hexagonal axes)
Asymmetric unit:
Na (0.0000, 0.0000, 0.0000) (multiplicity 3)
Er (0.0000, 0.0000, 0.4880) (multiplicity 3)
Te (0.0000, 0.0000, 0.2388) (multiplicity 3)
Se (0.0000, 0.0000, 0.7513) (multiplicity 3)

**Crystal system**: trigonal
**Total DFT energy (no corrections)**: -4.6163 eV/atom

Compound: NaErZnSe3
Source: the Open Quantum Materials Database
Functional: GGA-PBE
Structure: optimized geometry

a = 10.899 Å, b = 4.041 Å, c = 13.575 Å
α = 90.00°, β = 90.00°, γ = 90.00°
Space group Pnma (No. 62)
Asymmetric unit:
Na (0.218, 0.250, 0.004) (multiplicity 4)
Er (0.014, 0.750, 0.743) (multiplicity 4)
Zn (0.238, 0.750, 0.218) (multiplicity 4)
Se (0.050, 0.750, 0.119) (multiplicity 4)
Se (0.085, 0.250, 0.609) (multiplicity 4)
Se (0.238, 0.250, 0.331) (multiplicity 4)

**Crystal system**: orthorhombic
**Polymorph energy (0 for the lowest one)**: 0.001 eV/atom

Compound: NaErZnSe3
Source: the Open Quantum Materials Database
Functional: GGA-PBE
Structure: optimized geometry

a = 8.321 Å, b = 4.066 Å, c = 9.900 Å
α = 90.00°, β = 105.82°, γ = 90.00°
Space group P2_1/m (No. 11)
Asymmetric unit:
Na (0.189, 0.250, 0.182) (multiplicity 2)
Er (0.329, 0.750, 0.852) (multiplicity 2)
Zn (0.082, 0.250, 0.601) (multiplicity 2)
Se (0.086, 0.250, 0.850) (multiplicity 2)
Se (0.226, 0.750, 0.540) (multiplicity 2)
Se (0.437, 0.750, 0.150) (multiplicity 2)

**Crystal system**: monoclinic
**Polymorph energy (0 for the lowest one)**: 0.003 eV/atom

Compound: NaErZnSe3
Source: the Open Quantum Materials Database
Functional: GGA-PBE
Structure: optimized geometry

a = 4.025 Å, b = 13.691 Å, c = 10.847 Å
α = 90.00°, β = 90.00°, γ = 90.00°
Space group Cmcm (No. 63)
Asymmetric unit:
Na (0.000, 0.243, 0.250) (multiplicity 4)
Er (0.000, 0.000, 0.000) (multiplicity 4)
Zn (0.000, 0.468, 0.750) (multiplicity 4)
Se (0.000, 0.080, 0.750) (multiplicity 4)
Se (0.000, 0.364, 0.568) (multiplicity 8)

**Crystal system**: orthorhombic
**Polymorph energy (0 for the lowest one)**: 0.000 eV/atom

Compound: NaErSi
Source: the Open Quantum Materials Database
Functional: GGA-PBE
Structure: optimized geometry

a = 6.786 Å, b = 6.786 Å, c = 6.786 Å
α = 90.00°, β = 90.00°, γ = 90.00°
Space group F-43m (No. 216)
Asymmetric unit:
Na (0.000, 0.000, 0.000) (multiplicity 4)
Er (0.250, 0.250, 0.250) (multiplicity 4)
Si (0.000, 0.000, 0.500) (multiplicity 4)

**Crystal system**: cubic
**Total DFT energy (no corrections)**: -3.5521 eV/atom

Compound: NaErSi
Source: the Open Quantum Materials Database
Functional: GGA-PBE
Structure: optimized geometry

a = 6.786 Å, b = 6.786 Å, c = 6.786 Å
α = 90.00°, β = 90.00°, γ = 90.00°
Space group F-43m (No. 216)
Asymmetric unit:
Na (0.000, 0.000, 0.000) (multiplicity 4)
Er (0.000, 0.000, 0.500) (multiplicity 4)
Si (0.250, 0.250, 0.750) (multiplicity 4)

**Crystal system**: cubic
**Total DFT energy (no corrections)**: -3.9493 eV/atom

Compound: NaSmEr
Source: the Open Quantum Materials Database
Functional: GGA-PBE
Structure: optimized geometry

a = 7.526 Å, b = 7.526 Å, c = 7.526 Å
α = 90.00°, β = 90.00°, γ = 90.00°
Space group F-43m (No. 216)
Asymmetric unit:
Na (0.000, 0.000, 0.000) (multiplicity 4)
Sm (0.250, 0.250, 0.250) (multiplicity 4)
Er (0.250, 0.250, 0.750) (multiplicity 4)

**Crystal system**: cubic
**Polymorph energy (0 for the lowest one)**: 0.000 eV/atom

Compound: NaErSn
Source: the Open Quantum Materials Database
Functional: GGA-PBE
Structure: optimized geometry

a = 7.6773 Å, b = 7.6773 Å, c = 4.6728 Å
α = 90.00°, β = 90.00°, γ = 120.00°
Space group P-62m (No. 189)
Asymmetric unit:
Na (0.0000, 0.2384, 0.0000) (multiplicity 3)
Er (0.0000, 0.5707, 0.5000) (multiplicity 3)
Sn (0.0000, 0.0000, 0.5000) (multiplicity 1)
Sn (0.3333, 0.6667, 0.0000) (multiplicity 2)

**Crystal system**: hexagonal
**Polymorph energy (0 for the lowest one)**: 0.081 eV/atom

Compound: NaErSn
Source: the Open Quantum Materials Database
Functional: GGA-PBE
Structure: optimized geometry

a = 7.208 Å, b = 7.208 Å, c = 7.208 Å
α = 90.00°, β = 90.00°, γ = 90.00°
Space group F-43m (No. 216)
Asymmetric unit:
Na (0.000, 0.000, 0.000) (multiplicity 4)
Er (0.250, 0.250, 0.250) (multiplicity 4)
Sn (0.000, 0.000, 0.500) (multiplicity 4)

**Crystal system**: cubic
**Polymorph energy (0 for the lowest one)**: 0.447 eV/atom